# 1
First-principles (GGA-PBE) data for a geometry-optimized KHo4TmS8 structure, as listed in Alexandria.

POSCAR file:
```
KHo4TmS8
1.0
-3.361 -1.905 -7.210
2.815 -6.387 -4.265
-4.532 -6.737 -0.748
S Ho Tm K
8 4 1 1
Cartesian
-1.574 -8.014 -8.896 S
-1.861 -10.511 -5.636 S
-1.483 -3.952 -2.905 S
-3.071 -4.619 -6.629 S
-5.372 -7.963 -7.310 S
-3.711 -11.182 -9.237 S
0.213 -7.001 -5.064 S
-3.461 -6.880 -3.212 S
-0.935 -6.513 -2.484 Ho
-2.290 -3.439 -0.431 Ho
-0.909 -6.026 -7.265 Ho
-3.907 -4.356 -3.901 Ho
-4.473 -6.682 -0.790 Tm
-4.158 -8.993 -4.966 K
```

Summary:
Size of the total moment ... 0.000 μB per atom
ΔE_f (raw) ... -1932.6 meV per atom

# 2
First-principles (GGA-PBE) data for a geometry-optimized Mg2RuO4 structure, as listed in Alexandria.

POSCAR file:
```
Mg2RuO4
1.0
-0.457 -2.873 -1.117
4.920 -0.117 -1.715
-1.014 -0.311 5.564
O Mg Ru
4 2 1
Cartesian
-0.329 -2.771 2.916 O
0.789 -1.921 0.272 O
2.659 -1.379 2.460 O
3.778 -0.530 -0.184 O
2.786 -2.219 0.218 Mg
0.662 -1.082 2.514 Mg
0.000 0.000 0.000 Ru
```

Summary:
Energy above the most stable polymorph in this dataset ... 9.4 kJ per mole of atoms
Size of the total moment ... 0.286 μB per atom
ΔE_f (raw) ... -1825.7 meV per atom

# 3
First-principles (GGA-PBE) data for a geometry-optimized BTeIrI2 structure, as listed in Alexandria.

POSCAR file:
```
BTeIrI2
1.0
-2.509 -4.035 -2.986
1.696 -3.823 3.741
-4.249 0.693 2.634
B I Ir Te
1 2 1 1
Cartesian
-2.531 -3.582 1.695 B
0.848 -1.912 1.871 I
-1.255 -2.017 -1.493 I
0.000 0.000 0.000 Ir
-2.124 0.347 1.317 Te
```

Summary:
Energy above the most stable polymorph in this dataset ... 0.0 kJ per mole of atoms
Size of the total moment ... 0.000 μB per atom
ΔE_f (raw) ... 1278.6 meV per atom